# 1
First-principles (GGA-PBE) data for crystalline AsPbS2Cl at its relaxed geometry, as listed in Alexandria.

Calculated values
Polymorph energy (0 for the lowest one), eV/atom: 0.000
Space group: No. 123
Crystal system: tetragonal
Raw formation energy, eV per formula unit: -0.51
Total magnetic moment, μB/f.u.: 0.000

The structure in extended XYZ format:
```
5
Lattice="5.124 0.000 0.000 0.000 5.124 0.000 0.000 0.000 5.063" Properties=species:S:1:pos:R:3 pbc="T T T"
As 0.000 0.000 0.000
Pb 2.562 2.562 2.531
S 0.000 2.562 0.000
S 2.562 0.000 0.000
Cl 0.000 0.000 2.531
```

---

# 2
First-principles (GGA-PBE) data for crystalline SbAs2PbCl at its relaxed geometry, as listed in Alexandria.

Calculated values
Space group: No. 123
Crystal system: tetragonal
Raw formation energy, eV per formula unit: 3.46
Total magnetic moment, μB/f.u.: 0.000

The structure in extended XYZ format:
```
5
Lattice="5.037 0.000 0.000 0.000 5.037 0.000 0.000 0.000 5.375" Properties=species:S:1:pos:R:3 pbc="T T T"
Sb 0.000 0.000 0.000
As 0.000 2.518 2.688
As 2.518 0.000 2.688
Pb 2.518 2.518 0.000
Cl 0.000 0.000 2.688
```

---

# 3
First-principles (GGA-PBE) data for crystalline Sb2AsPb6Cl3 at its relaxed geometry, as listed in Alexandria.

Calculated values
Space group: No. 12
Crystal system: monoclinic
Raw formation energy, eV per formula unit: -5.25
Total magnetic moment, μB/f.u.: 0.000

The structure in extended XYZ format:
```
12
Lattice="3.904 -6.769 0.000 3.904 6.769 0.000 -2.619 0.000 7.209" Properties=species:S:1:pos:R:3 pbc="T T T"
Sb 3.904 4.526 0.000
Sb 3.904 -4.526 0.000
As 3.904 0.000 0.000
Pb 0.041 2.164 5.541
Pb 1.419 0.000 1.655
Pb 0.041 -2.164 5.541
Pb 5.148 2.164 1.668
Pb 3.770 0.000 5.554
Pb 5.148 -2.164 1.668
Cl -1.310 0.000 3.604
Cl 2.595 2.372 3.604
Cl 2.595 -2.372 3.604
```

---

# 4
First-principles (GGA-PBE) data for crystalline AsPb6Se3Cl2 at its relaxed geometry, as listed in Alexandria.

Calculated values
Space group: No. 12
Crystal system: monoclinic
Raw formation energy, eV per formula unit: -6.35
Total magnetic moment, μB/f.u.: 0.000

The structure in extended XYZ format:
```
12
Lattice="3.776 -6.585 0.000 3.776 6.585 0.000 -2.576 0.000 7.329" Properties=species:S:1:pos:R:3 pbc="T T T"
As 0.000 0.000 0.000
Pb 1.151 2.032 1.862
Pb -0.197 0.000 5.476
Pb 1.151 -2.032 1.862
Pb 3.824 2.032 5.467
Pb 5.172 0.000 1.854
Pb 3.824 -2.032 5.467
Se 2.487 4.435 3.665
Se 2.487 0.000 3.665
Se 2.487 -4.435 3.665
Cl 3.776 2.231 0.000
Cl 3.776 -2.231 0.000
```

---

# 5
First-principles (GGA-PBE) data for crystalline AsPb6Se2Cl3 at its relaxed geometry, as listed in Alexandria.

Calculated values
Space group: No. 12
Crystal system: monoclinic
Raw formation energy, eV per formula unit: -6.47
Total magnetic moment, μB/f.u.: 0.000

The structure in extended XYZ format:
```
12
Lattice="4.158 -6.265 0.000 4.158 6.265 0.000 -2.091 0.000 6.919" Properties=species:S:1:pos:R:3 pbc="T T T"
As 0.000 0.000 0.000
Pb 1.507 2.025 1.574
Pb 0.424 0.000 5.333
Pb 1.507 -2.025 1.574
Pb 4.718 2.025 5.345
Pb 5.801 0.000 1.587
Pb 4.718 -2.025 5.345
Se 4.158 2.069 0.000
Se 4.158 -2.069 0.000
Cl 3.112 4.186 3.460
Cl 3.112 0.000 3.460
Cl 3.112 -4.186 3.460
```

---

# 6
First-principles (GGA-PBE) data for crystalline AsPbSe2Cl at its relaxed geometry, as listed in Alexandria.

Calculated values
Polymorph energy (0 for the lowest one), eV/atom: 0.000
Space group: No. 123
Crystal system: tetragonal
Raw formation energy, eV per formula unit: 3.38
Total magnetic moment, μB/f.u.: 1.449

The structure in extended XYZ format:
```
5
Lattice="5.653 0.000 0.000 0.000 5.653 0.000 0.000 0.000 5.091" Properties=species:S:1:pos:R:3 pbc="T T T"
As 0.000 0.000 0.000
Pb 2.826 2.826 0.000
Se 0.000 2.826 2.546
Se 2.826 0.000 2.546
Cl 0.000 0.000 2.546
```

---

# 7
First-principles (GGA-PBE) data for crystalline AsPbSe2Cl at its relaxed geometry, as listed in Alexandria.

Calculated values
Polymorph energy (0 for the lowest one), eV/atom: 0.144
Space group: No. 123
Crystal system: tetragonal
Raw formation energy, eV per formula unit: 4.10
Total magnetic moment, μB/f.u.: 0.002

The structure in extended XYZ format:
```
5
Lattice="5.469 0.000 0.000 0.000 5.469 0.000 0.000 0.000 5.947" Properties=species:S:1:pos:R:3 pbc="T T T"
As 0.000 0.000 0.000
Pb 0.000 0.000 2.974
Se 0.000 2.735 2.974
Se 2.735 0.000 2.974
Cl 2.735 2.735 0.000
```

---

# 8
First-principles (GGA-PBE) data for crystalline As2PbSeCl at its relaxed geometry, as listed in Alexandria.

Calculated values
Polymorph energy (0 for the lowest one), eV/atom: 0.000
Space group: No. 123
Crystal system: tetragonal
Raw formation energy, eV per formula unit: 3.95
Total magnetic moment, μB/f.u.: 0.000

The structure in extended XYZ format:
```
5
Lattice="5.298 0.000 0.000 0.000 5.298 0.000 0.000 0.000 5.719" Properties=species:S:1:pos:R:3 pbc="T T T"
As 0.000 2.649 0.000
As 2.649 0.000 0.000
Pb 0.000 0.000 2.859
Se 2.649 2.649 2.859
Cl 2.649 2.649 0.000
```

---

- Which of these has the highest raw formation energy?
  number 7

---

- Among the records above, which one has the highest raw formation energy?
  number 7